Entry 1:
Entry from Alexandria via LeMat-Bulk: RbBa2LaI8 after structural relaxation (GGA-PBE).

Values from the calculation:
* calculated volume: 54.72 Å³/atom
* total magnetization: 0.00 μB/atom
* formation energy from raw total energies: -1.6171 eV/atom

The structure in POSCAR format:
```
RbBa2LaI8
1.0
7.693 0.000 0.000
-0.022 8.048 0.000
-0.006 -0.002 10.604
Rb Ba La I
1 2 1 8
direct
0.000 0.000 0.000
0.500 0.500 0.253
0.500 0.500 0.747
0.000 0.000 0.500
0.238 0.851 0.284
0.238 0.852 0.716
0.243 0.331 0.500
0.249 0.384 0.000
0.751 0.616 0.000
0.757 0.669 0.500
0.762 0.148 0.284
0.762 0.149 0.716
```



Entry 2:
Entry from Alexandria via LeMat-Bulk: Co2MoP after structural relaxation (GGA-PBE).

Values from the calculation:
* calculated volume: 12.16 Å³/atom
* total energy: -30.3 eV per cell
* total magnetization: 0.00 μB/atom

The structure in POSCAR format:
```
Co2MoP
1.0
2.485 -3.619 0.000
2.485 3.619 0.000
0.000 0.000 2.706
Co Mo P
2 1 1
direct
0.000 0.500 0.000
0.500 0.000 0.000
0.000 0.000 0.500
0.500 0.500 0.500
```



Entry 3:
Entry from Alexandria via LeMat-Bulk: Ba3ZnN after structural relaxation (GGA-PBE).

Values from the calculation:
* calculated volume: 35.55 Å³/atom
* total magnetization: 0.00 μB/atom
* relative energy among the computed polymorphs: 0 meV per atom
* formation energy from raw total energies: -0.1723 eV/atom

The structure in POSCAR format:
```
Ba3ZnN
1.0
5.622 0.000 0.000
0.000 5.622 0.000
0.000 0.000 5.622
Ba Zn N
3 1 1
direct
0.000 0.000 0.500
0.000 0.500 0.000
0.500 0.000 0.000
0.500 0.500 0.500
0.000 0.000 0.000
```